#1
The following is a PBE-GGA calculation of a geometry-optimized GdZn structure, from OQMD via LeMat-Bulk.

```
data_GdZn
_chemical_formula_sum 'Gd2 Zn2'
_symmetry_space_group_name_H-M 'P 1'
_symmetry_Int_Tables_number 1
_symmetry_space_group_name_Hall 'P 1'
_cell_length_a 5.083
_cell_length_b 3.526
_cell_length_c 5.129
_cell_angle_alpha 90.00
_cell_angle_beta 90.00
_cell_angle_gamma 90.00
loop_
_atom_site_label
_atom_site_type_symbol
_atom_site_fract_x
_atom_site_fract_y
_atom_site_fract_z
_atom_site_occupancy
Gd1 Gd 0.250 0.000 0.242 1
Gd2 Gd 0.750 0.000 0.758 1
Zn1 Zn 0.250 0.500 0.737 1
Zn2 Zn 0.750 0.500 0.263 1
```

***

#2
The following is a PBE-GGA calculation of a geometry-optimized GdZn structure, from OQMD via LeMat-Bulk.

```
data_GdZn
_chemical_formula_sum 'Gd8 Zn8'
_symmetry_space_group_name_H-M 'P 1'
_symmetry_Int_Tables_number 1
_symmetry_space_group_name_Hall 'P 1'
_cell_length_a 5.010
_cell_length_b 12.559
_cell_length_c 5.879
_cell_angle_alpha 90.00
_cell_angle_beta 90.00
_cell_angle_gamma 90.00
loop_
_atom_site_label
_atom_site_type_symbol
_atom_site_fract_x
_atom_site_fract_y
_atom_site_fract_z
_atom_site_occupancy
Gd1 Gd 0.250 0.076 0.114 1
Gd2 Gd 0.250 0.250 0.623 1
Gd3 Gd 0.250 0.424 0.114 1
Gd4 Gd 0.250 0.750 0.807 1
Gd5 Gd 0.750 0.250 0.193 1
Gd6 Gd 0.750 0.576 0.886 1
Gd7 Gd 0.750 0.750 0.377 1
Gd8 Gd 0.750 0.924 0.886 1
Zn1 Zn 0.250 0.510 0.626 1
Zn2 Zn 0.250 0.642 0.277 1
Zn3 Zn 0.250 0.858 0.277 1
Zn4 Zn 0.250 0.990 0.626 1
Zn5 Zn 0.750 0.010 0.374 1
Zn6 Zn 0.750 0.142 0.723 1
Zn7 Zn 0.750 0.358 0.723 1
Zn8 Zn 0.750 0.490 0.374 1
```

***

Best to worst by energy: #1, #2.

***

#1
The following is a PBE-GGA calculation of a geometry-optimized TaTePO structure, from OQMD via LeMat-Bulk.

```
data_TaTePO
_chemical_formula_sum 'Ta2 Te2 P2 O2'
_symmetry_space_group_name_H-M 'P 1'
_symmetry_Int_Tables_number 1
_symmetry_space_group_name_Hall 'P 1'
_cell_length_a 3.939
_cell_length_b 3.939
_cell_length_c 10.145
_cell_angle_alpha 90.00
_cell_angle_beta 90.00
_cell_angle_gamma 90.00
loop_
_atom_site_label
_atom_site_type_symbol
_atom_site_fract_x
_atom_site_fract_y
_atom_site_fract_z
_atom_site_occupancy
Ta1 Ta 0.250 0.250 0.084 1
Ta2 Ta 0.750 0.750 0.916 1
Te1 Te 0.250 0.750 0.500 1
Te2 Te 0.750 0.250 0.500 1
P1 P 0.250 0.250 0.816 1
P2 P 0.750 0.750 0.184 1
O1 O 0.250 0.750 0.000 1
O2 O 0.750 0.250 0.000 1
```

***

#2
The following is a PBE-GGA calculation of a geometry-optimized TaTePO structure, from OQMD via LeMat-Bulk.

```
data_TaTePO
_chemical_formula_sum 'Ta2 Te2 P2 O2'
_symmetry_space_group_name_H-M 'P 1'
_symmetry_Int_Tables_number 1
_symmetry_space_group_name_Hall 'P 1'
_cell_length_a 3.581
_cell_length_b 7.398
_cell_length_c 7.218
_cell_angle_alpha 90.00
_cell_angle_beta 90.00
_cell_angle_gamma 90.00
loop_
_atom_site_label
_atom_site_type_symbol
_atom_site_fract_x
_atom_site_fract_y
_atom_site_fract_z
_atom_site_occupancy
Ta1 Ta 0.000 0.044 0.000 1
Ta2 Ta 0.000 0.956 0.500 1
Te1 Te 0.500 0.265 0.581 1
Te2 Te 0.500 0.735 0.081 1
P1 P 0.500 0.269 0.926 1
P2 P 0.500 0.731 0.426 1
O1 O 0.000 0.088 0.258 1
O2 O 0.000 0.912 0.758 1
```

***

Best to worst by energy: #2, #1.

***

#1
The following is a PBE-GGA calculation of a geometry-optimized LaDyCuSi3 structure, from OQMD via LeMat-Bulk.

```
data_LaDyCuSi3
_chemical_formula_sum 'La2 Dy2 Cu2 Si6'
_symmetry_space_group_name_H-M 'P 1'
_symmetry_Int_Tables_number 1
_symmetry_space_group_name_Hall 'P 1'
_cell_length_a 8.190
_cell_length_b 8.111
_cell_length_c 5.841
_cell_angle_alpha 69.73
_cell_angle_beta 68.28
_cell_angle_gamma 41.99
loop_
_atom_site_label
_atom_site_type_symbol
_atom_site_fract_x
_atom_site_fract_y
_atom_site_fract_z
_atom_site_occupancy
La1 La 0.250 0.250 0.250 1
La2 La 0.750 0.750 0.750 1
Dy1 Dy 0.243 0.757 0.243 1
Dy2 Dy 0.757 0.243 0.757 1
Cu1 Cu 0.336 0.336 0.664 1
Cu2 Cu 0.664 0.664 0.336 1
Si1 Si 0.167 0.167 0.833 1
Si2 Si 0.172 0.662 0.828 1
Si3 Si 0.338 0.828 0.662 1
Si4 Si 0.662 0.172 0.338 1
Si5 Si 0.828 0.338 0.172 1
Si6 Si 0.833 0.833 0.167 1
```

***

#2
The following is a PBE-GGA calculation of a geometry-optimized LaDyCuSi3 structure, from OQMD via LeMat-Bulk.

```
data_LaDyCuSi3
_chemical_formula_sum 'La2 Dy2 Cu2 Si6'
_symmetry_space_group_name_H-M 'P 1'
_symmetry_Int_Tables_number 1
_symmetry_space_group_name_Hall 'P 1'
_cell_length_a 8.168
_cell_length_b 8.070
_cell_length_c 5.860
_cell_angle_alpha 69.74
_cell_angle_beta 67.96
_cell_angle_gamma 42.30
loop_
_atom_site_label
_atom_site_type_symbol
_atom_site_fract_x
_atom_site_fract_y
_atom_site_fract_z
_atom_site_occupancy
La1 La 0.244 0.756 0.244 1
La2 La 0.756 0.244 0.756 1
Dy1 Dy 0.250 0.250 0.250 1
Dy2 Dy 0.750 0.750 0.750 1
Cu1 Cu 0.332 0.332 0.668 1
Cu2 Cu 0.668 0.668 0.332 1
Si1 Si 0.168 0.659 0.832 1
Si2 Si 0.171 0.171 0.829 1
Si3 Si 0.341 0.832 0.659 1
Si4 Si 0.659 0.168 0.341 1
Si5 Si 0.829 0.829 0.171 1
Si6 Si 0.832 0.341 0.168 1
```

***

Best to worst by energy: #2, #1.

***

#1
The following is a PBE-GGA calculation of a geometry-optimized NaTeIr structure, from OQMD via LeMat-Bulk.

```
data_NaTeIr
_chemical_formula_sum 'Na1 Te1 Ir1'
_symmetry_space_group_name_H-M 'P 1'
_symmetry_Int_Tables_number 1
_symmetry_space_group_name_Hall 'P 1'
_cell_length_a 4.486
_cell_length_b 4.486
_cell_length_c 4.486
_cell_angle_alpha 60.00
_cell_angle_beta 60.00
_cell_angle_gamma 60.00
loop_
_atom_site_label
_atom_site_type_symbol
_atom_site_fract_x
_atom_site_fract_y
_atom_site_fract_z
_atom_site_occupancy
Na1 Na 0.000 0.000 0.000 1
Te1 Te 0.250 0.250 0.250 1
Ir1 Ir 0.750 0.750 0.750 1
```

***

#2
The following is a PBE-GGA calculation of a geometry-optimized NaTeIr structure, from OQMD via LeMat-Bulk.

```
data_NaTeIr
_chemical_formula_sum 'Na1 Te1 Ir1'
_symmetry_space_group_name_H-M 'P 1'
_symmetry_Int_Tables_number 1
_symmetry_space_group_name_Hall 'P 1'
_cell_length_a 4.498
_cell_length_b 4.498
_cell_length_c 4.498
_cell_angle_alpha 60.00
_cell_angle_beta 60.00
_cell_angle_gamma 60.00
loop_
_atom_site_label
_atom_site_type_symbol
_atom_site_fract_x
_atom_site_fract_y
_atom_site_fract_z
_atom_site_occupancy
Na1 Na 0.000 0.000 0.000 1
Te1 Te 0.500 0.500 0.500 1
Ir1 Ir 0.250 0.250 0.250 1
```

***

Best to worst by energy: #2, #1.

***

#1
The following is a PBE-GGA calculation of a geometry-optimized LiCd2Pd structure, from OQMD via LeMat-Bulk.

```
data_LiCd2Pd
_chemical_formula_sum 'Li2 Cd4 Pd2'
_symmetry_space_group_name_H-M 'P 1'
_symmetry_Int_Tables_number 1
_symmetry_space_group_name_Hall 'P 1'
_cell_length_a 4.589
_cell_length_b 4.589
_cell_length_c 8.819
_cell_angle_alpha 90.00
_cell_angle_beta 90.00
_cell_angle_gamma 120.00
loop_
_atom_site_label
_atom_site_type_symbol
_atom_site_fract_x
_atom_site_fract_y
_atom_site_fract_z
_atom_site_occupancy
Li1 Li 0.333 0.667 0.250 1
Li2 Li 0.667 0.333 0.750 1
Cd1 Cd 0.333 0.667 0.589 1
Cd2 Cd 0.333 0.667 0.911 1
Cd3 Cd 0.667 0.333 0.089 1
Cd4 Cd 0.667 0.333 0.411 1
Pd1 Pd 0.000 0.000 0.000 1
Pd2 Pd 0.000 0.000 0.500 1
```

***

#2
The following is a PBE-GGA calculation of a geometry-optimized LiCd2Pd structure, from OQMD via LeMat-Bulk.

```
data_LiCd2Pd
_chemical_formula_sum 'Li2 Cd4 Pd2'
_symmetry_space_group_name_H-M 'P 1'
_symmetry_Int_Tables_number 1
_symmetry_space_group_name_Hall 'P 1'
_cell_length_a 5.696
_cell_length_b 5.696
_cell_length_c 5.696
_cell_angle_alpha 114.70
_cell_angle_beta 99.10
_cell_angle_gamma 115.08
loop_
_atom_site_label
_atom_site_type_symbol
_atom_site_fract_x
_atom_site_fract_y
_atom_site_fract_z
_atom_site_occupancy
Li1 Li 0.251 0.001 0.250 1
Li2 Li 0.749 0.999 0.750 1
Cd1 Cd 0.249 0.000 0.749 1
Cd2 Cd 0.249 0.500 0.249 1
Cd3 Cd 0.751 0.000 0.251 1
Cd4 Cd 0.751 0.500 0.751 1
Pd1 Pd 0.251 0.501 0.750 1
Pd2 Pd 0.749 0.499 0.250 1
```

***

Best to worst by energy: #2, #1.

***

#1
The following is a PBE-GGA calculation of a geometry-optimized Cu5Ag4 structure, from OQMD via LeMat-Bulk.

```
data_Cu5Ag4
_chemical_formula_sum 'Cu5 Ag4'
_symmetry_space_group_name_H-M 'P 1'
_symmetry_Int_Tables_number 1
_symmetry_space_group_name_Hall 'P 1'
_cell_length_a 7.067
_cell_length_b 7.067
_cell_length_c 6.821
_cell_angle_alpha 98.07
_cell_angle_beta 98.07
_cell_angle_gamma 23.13
loop_
_atom_site_label
_atom_site_type_symbol
_atom_site_fract_x
_atom_site_fract_y
_atom_site_fract_z
_atom_site_occupancy
Cu1 Cu 0.000 0.000 0.000 1
Cu2 Cu 0.348 0.348 0.018 1
Cu3 Cu 0.563 0.563 0.307 1
Cu4 Cu 0.783 0.783 0.721 1
Cu5 Cu 0.914 0.914 0.313 1
Ag1 Ag 0.114 0.114 0.647 1
Ag2 Ag 0.250 0.250 0.370 1
Ag3 Ag 0.438 0.438 0.658 1
Ag4 Ag 0.673 0.673 0.015 1
```

***

#2
The following is a PBE-GGA calculation of a geometry-optimized Cu5Ag4 structure, from OQMD via LeMat-Bulk.

```
data_Cu5Ag4
_chemical_formula_sum 'Cu5 Ag4'
_symmetry_space_group_name_H-M 'P 1'
_symmetry_Int_Tables_number 1
_symmetry_space_group_name_Hall 'P 1'
_cell_length_a 7.290
_cell_length_b 7.290
_cell_length_c 6.611
_cell_angle_alpha 90.49
_cell_angle_beta 90.49
_cell_angle_gamma 21.94
loop_
_atom_site_label
_atom_site_type_symbol
_atom_site_fract_x
_atom_site_fract_y
_atom_site_fract_z
_atom_site_occupancy
Cu1 Cu 0.000 0.000 0.000 1
Cu2 Cu 0.341 0.341 0.003 1
Cu3 Cu 0.550 0.550 0.304 1
Cu4 Cu 0.659 0.659 0.992 1
Cu5 Cu 0.895 0.895 0.308 1
Ag1 Ag 0.109 0.109 0.655 1
Ag2 Ag 0.223 0.223 0.308 1
Ag3 Ag 0.444 0.444 0.653 1
Ag4 Ag 0.778 0.778 0.675 1
```

***

Best to worst by energy: #1, #2.